Record 1
# RbZrAsO PBE optimized geometry
data_RbZrAsO
_cell_length_a 4.0488
_cell_length_b 4.0488
_cell_length_c 9.8295
_cell_angle_alpha 90.00
_cell_angle_beta 90.00
_cell_angle_gamma 90.00
_symmetry_space_group_name_H-M 'P 4/n m m'
_symmetry_Int_Tables_number 129
loop_
_symmetry_equiv_pos_as_xyz
'x,y,z'
'-x,-y,-z'
'-y+1/2,x,z'
'y+1/2,-x,-z'
'-x+1/2,-y+1/2,z'
'x+1/2,y+1/2,-z'
'y,-x+1/2,z'
'-y,x+1/2,-z'
'x+1/2,-y,-z'
'-x+1/2,y,z'
'-y,-x,-z'
'y,x,z'
'-x,y+1/2,-z'
'x,-y+1/2,z'
'y+1/2,x+1/2,-z'
'-y+1/2,-x+1/2,z'
loop_
_atom_site_label
_atom_site_fract_x
_atom_site_fract_y
_atom_site_fract_z
Rb1 0.2500 0.7500 0.0000
Zr1 0.2500 0.2500 0.4054
As1 0.2500 0.2500 0.7395
O1 0.2500 0.7500 0.5000
# E above lowest polymorph in eV per atom: 0.483
# Total magnetic moment in μB per formula unit: 0.00
# Calculated density in Mg/m³: 5.52



Record 2
# CuAg9 PBE optimized geometry
data_CuAg9
_cell_length_a 9.6667
_cell_length_b 2.9273
_cell_length_c 12.5028
_cell_angle_alpha 90.00
_cell_angle_beta 100.98
_cell_angle_gamma 90.00
_symmetry_space_group_name_H-M 'C 1 2/m 1'
_symmetry_Int_Tables_number 12
_symmetry_space_group_name_Hall '-C 2y'
loop_
_atom_site_label
_atom_site_fract_x
_atom_site_fract_y
_atom_site_fract_z
Cu1 0.0000 0.0000 0.0000
Ag1 0.0000 0.5000 0.5000
Ag2 0.0943 0.0000 0.7038
Ag3 0.1066 0.5000 0.1882
Ag4 0.1867 0.5000 0.9063
Ag5 0.2021 0.0000 0.3968
# E above lowest polymorph in eV per atom: 0.009
# Energy of formation from the pure elements in eV per atom: 0.03
# Calculated density in Mg/m³: 9.89



Record 3
# FeNi2Sn PBE optimized geometry
data_FeNi2Sn
_cell_length_a 5.9524
_cell_length_b 5.9524
_cell_length_c 5.9524
_cell_angle_alpha 90.00
_cell_angle_beta 90.00
_cell_angle_gamma 90.00
_symmetry_space_group_name_H-M 'F -4 3 m'
_symmetry_Int_Tables_number 216
_symmetry_space_group_name_Hall 'F -4 2 3'
loop_
_atom_site_label
_atom_site_fract_x
_atom_site_fract_y
_atom_site_fract_z
Fe1 0.0000 0.0000 0.0000
Ni1 0.0000 0.0000 0.5000
Ni2 0.2500 0.2500 0.7500
Sn1 0.2500 0.2500 0.2500
# Total magnetic moment in μB per formula unit: 2.88
# Electronic total energy in eV per cell: -94.00
# Calculated density in Mg/m³: 9.19



Copy entry 3 word for word.
# FeNi2Sn PBE optimized geometry
data_FeNi2Sn
_cell_length_a 5.9524
_cell_length_b 5.9524
_cell_length_c 5.9524
_cell_angle_alpha 90.00
_cell_angle_beta 90.00
_cell_angle_gamma 90.00
_symmetry_space_group_name_H-M 'F -4 3 m'
_symmetry_Int_Tables_number 216
_symmetry_space_group_name_Hall 'F -4 2 3'
loop_
_atom_site_label
_atom_site_fract_x
_atom_site_fract_y
_atom_site_fract_z
Fe1 0.0000 0.0000 0.0000
Ni1 0.0000 0.0000 0.5000
Ni2 0.2500 0.2500 0.7500
Sn1 0.2500 0.2500 0.2500
# Total magnetic moment in μB per formula unit: 2.88
# Electronic total energy in eV per cell: -94.00
# Calculated density in Mg/m³: 9.19



Q: Look up the calculated density of the third one.
A: 9.19 Mg/m³



Q: calculated density of number 2 (CuAg9)?
A: 9.89 Mg/m³